Sr2Hg2Bi after structural relaxation, computed with PBE-GGA.

Cell lengths 9.2395, 9.2395, 4.0832 Å; angles 90.00, 90.00, 90.00 degrees
Sites, in units of the cell vectors:
Sr 0.3237 0.8237 0.0000
Sr 0.8237 0.6763 0.0000
Sr 0.6763 0.1763 0.0000
Sr 0.1763 0.3237 0.0000
Bi 0.0000 0.0000 0.0000
Bi 0.5000 0.5000 0.0000
Hg 0.1218 0.6218 0.5000
Hg 0.6218 0.8782 0.5000
Hg 0.8782 0.3782 0.5000
Hg 0.3782 0.1218 0.5000

**Size of the total moment**: 0.000 μB per atom
**ΔE_f**: -0.418 eV per atom